Entry 1:
# PbSeI2N

PbSeI2N after structural relaxation (GGA-PBE, Alexandria).

a b c (Å): 6.2191 6.2191 3.8270
angles (deg): 90.00 90.00 90.00
Last column: nearest neighbours and their distance in Å.
Atoms (fractional coordinates):
Pb1 0.0000 0.0000 0.0000  8 I 3.65, 2 Pb 3.83
Se1 0.5000 0.5000 0.5000  2 N 1.91
I1 0.0000 0.5000 0.5000  2 Se 3.11
I2 0.5000 0.0000 0.5000  2 Se 3.11
N1 0.5000 0.5000 0.0000  2 Se 1.91

Results
- formation energy from raw total energies (eV per atom) = 0.582
- SG = P4/mmm

=====

Entry 2:
# MgRh3

MgRh3 after structural relaxation (GGA-PBE, Alexandria).

a b c (Å): 4.4733 5.5220 4.7470
angles (deg): 90.00 90.00 90.00
Last column: nearest neighbours and their distance in Å.
Atoms (fractional coordinates):
Mg1 0.2500 0.2500 0.1597  12 Rh 2.72-2.77
Mg2 0.7500 0.7500 0.8403  12 Rh 2.72-2.77
Rh1 0.2500 0.5023 0.6629  8 Rh 2.72-2.79, 4 Mg 2.74-2.77
Rh2 0.2500 0.7500 0.1663  4 Mg 2.72-2.76, 8 Rh 2.73-2.76
Rh3 0.2500 0.9977 0.6629  8 Rh 2.72-2.79, 4 Mg 2.74-2.77
Rh4 0.7500 0.0023 0.3371  8 Rh 2.72-2.79, 4 Mg 2.74-2.77
Rh5 0.7500 0.2500 0.8337  4 Mg 2.72-2.76, 8 Rh 2.73-2.76
Rh6 0.7500 0.4977 0.3371  8 Rh 2.72-2.79, 4 Mg 2.74-2.77

Results
- electronic total energy (eV/cell) = -48.908
- SG = Pmmn